The following is a DFT calculation (GGA-PBE) of crystalline Sn3PtC at its relaxed geometry.

Properties
* symmetry: Pm-3m
* offset from the most stable computed form: 0.000 eV/atom
* formation enthalpy at 0 K: 17.4 kcal/mol of atoms
* N(E_F): 1.94 states/eV per cell

Cell: 4.6722 4.6722 4.6722 Å, 90.00 90.00 90.00°
Sites, in units of the cell vectors:
Pt 0.5000 0.5000 0.5000
Sn 0.0000 0.0000 0.5000
Sn 0.0000 0.5000 0.0000
Sn 0.5000 0.0000 0.0000
C 0.0000 0.0000 0.0000